# 1
Sr2LiNi3As4 PBE optimized geometry; uncorrected energy = -48.3 eV for the cell shown; magnetization = 0.0000 μB/atom; crystal system = tetragonal; formation energy from the elements = -0.704 eV/atom
1.0
4.308 0.000 0.000
0.000 4.308 0.000
0.000 0.000 9.779
Sr Li Ni As
2 1 3 4
direct
0.000 0.500 0.249
0.500 0.000 0.751
0.500 0.500 0.000
0.000 0.000 0.000
0.000 0.500 0.615
0.500 0.000 0.385
0.000 0.000 0.500
0.000 0.500 0.865
0.500 0.000 0.135
0.500 0.500 0.500

---

# 2
Ce10Ge3P3 PBE optimized geometry; uncorrected energy = -102.3 eV for the cell shown; magnetization = 0.5571 μB/atom; crystal system = hexagonal; formation energy from the elements = -0.802 eV/atom
1.0
8.708 0.000 0.000
-4.354 7.541 0.000
0.000 0.000 6.119
Ce Ge P
10 3 3
direct
0.000 0.271 0.000
0.000 0.735 0.500
0.265 0.265 0.500
0.271 0.000 0.000
0.333 0.667 0.267
0.333 0.667 0.733
0.667 0.333 0.267
0.667 0.333 0.733
0.729 0.729 0.000
0.735 0.000 0.500
0.000 0.622 0.000
0.378 0.378 0.000
0.622 0.000 0.000
0.000 0.374 0.500
0.374 0.000 0.500
0.626 0.626 0.500